{"formula": "PmSc3Rh4", "functional": "PBE", "state": "relaxed", "lattice": [[-1.4124, 3.5716, 2.6338], [-3.9531, -0.3266, 2.4403], [2.1485, -1.7819, 7.6859]], "species": ["Sc", "Sc", "Sc", "Rh", "Rh", "Rh", "Rh", "Pm"], "frac_coords": [[0.2455, 0.2455, 0.2635], [0.7545, 0.7545, 0.7365], [0.5000, 0.5000, 0.5000], [0.8718, 0.8718, 0.3847], [0.3808, 0.3808, 0.8575], [0.1282, 0.1282, 0.6153], [0.6192, 0.6192, 0.1425], [0.0000, 0.0000, 0.0000]], "e_form_ev_per_atom": -0.896}

***

{"formula": "Cr2RuRh", "functional": "PBE", "state": "relaxed", "lattice": [[6.5653, 0.0000, 0.0000], [0.0000, 6.5653, 0.0000], [3.2827, 3.2827, 2.6324]], "species": ["Ru", "Ru", "Rh", "Rh", "Cr", "Cr", "Cr", "Cr"], "frac_coords": [[0.5000, 0.5000, 0.0000], [0.2500, 0.7500, 0.5000], [0.0000, 0.0000, 0.0000], [0.7500, 0.2500, 0.5000], [0.6155, 0.1250, 0.2500], [0.1345, 0.6250, 0.2500], [0.3750, 0.3845, 0.7500], [0.8750, 0.8655, 0.7500]], "e_form_ev_per_atom": 0.651}

***

{"formula": "ReBI2O", "functional": "PBE", "state": "relaxed", "lattice": [[-1.1938, 3.2364, -4.3490], [-2.5591, -4.2622, -2.4693], [-3.2367, 0.9983, 1.6314]], "species": ["I", "I", "Re", "B", "O"], "frac_coords": [[0.0000, 0.5000, 0.0000], [0.5000, 0.0000, 0.0000], [0.0000, 0.0000, 0.0000], [0.5000, 0.5000, 0.5000], [0.0000, 0.0000, 0.5000]], "e_above_lowest_polymorph_ev_per_atom": 0.000, "raw_formation_energy_ev_per_atom": 0.742}

***

{"formula": "KLaCu2", "functional": "PBE", "state": "relaxed", "lattice": [[-5.7968, 0.1317, -2.7235], [-5.2798, -1.6379, 3.2372], [5.1034, 3.8172, -0.6495]], "species": ["Cu", "Cu", "K", "La"], "frac_coords": [[0.9610, 0.9610, 0.0000], [0.7991, 0.2991, 0.5000], [0.5214, 0.5214, 0.0000], [0.2186, 0.7186, 0.5000]], "e_form_ev_per_atom": 0.296, "e_above_lowest_polymorph_ev_per_atom": 0.212}

***

{"formula": "Ho5Er12Mg2", "functional": "PBE", "state": "relaxed", "lattice": [[9.0470, 0.0000, 0.0000], [-4.5235, 7.7122, 1.3488], [0.0000, -1.4543, 8.0992]], "species": ["Ho", "Ho", "Ho", "Ho", "Ho", "Er", "Er", "Er", "Er", "Er", "Er", "Er", "Er", "Er", "Er", "Er", "Er", "Mg", "Mg"], "frac_coords": [[0.2358, 0.4717, 0.5799], [0.3013, 0.6025, 0.9938], [0.0000, 0.0000, 0.5000], [0.6987, 0.3975, 0.0062], [0.7642, 0.5283, 0.4201], [0.9102, 0.8204, 0.1059], [0.0311, 0.6924, 0.7548], [0.6613, 0.6924, 0.7548], [0.1804, 0.7503, 0.3349], [0.5698, 0.7503, 0.3349], [0.4435, 0.8869, 0.6682], [0.5565, 0.1131, 0.3318], [0.8196, 0.2497, 0.6651], [0.4302, 0.2497, 0.6651], [0.9689, 0.3076, 0.2452], [0.3387, 0.3076, 0.2452], [0.0898, 0.1796, 0.8941], [0.6746, 0.0000, 0.0000], [0.3254, 0.0000, 0.0000]], "e_form_ev_per_atom": 0.103}

***

{"formula": "CeEr2Zr", "functional": "PBE", "state": "relaxed", "lattice": [[5.4271, 0.0000, 0.0000], [2.7136, 4.7000, 0.0000], [2.7136, 1.5667, 4.4312]], "species": ["Zr", "Ce", "Er", "Er"], "frac_coords": [[0.5000, 0.5000, 0.5000], [0.0000, 0.0000, 0.0000], [0.2500, 0.2500, 0.2500], [0.7500, 0.7500, 0.7500]], "e_form_ev_per_atom": 0.218, "e_above_lowest_polymorph_ev_per_atom": 0.123}

***

Number 1: theoretical density 7.9 g/cm³, DOS(E_F) 3.621 states/eV/f.u.. Number 2: theoretical density 9.0 g/cm³, DOS(E_F) 5.416 states/eV/f.u.. Number 3: theoretical density 6.7 g/cm³, DOS(E_F) 2.508 states/eV/f.u.. Number 4: theoretical density 5.1 g/cm³, DOS(E_F) 3.167 states/eV/f.u.. Number 5: theoretical density 8.2 g/cm³, DOS(E_F) 29.866 states/eV/f.u.. Number 6: theoretical density 8.3 g/cm³, DOS(E_F) 10.350 states/eV/f.u..